Tc8GeH4: optimized geometry, PBE.

```
Tc8GeH4
1.0
-2.823 0.376 -0.184
-2.492 -6.203 3.402
-1.000 5.635 4.742
Tc Ge H
8 1 4
direct
0.172 0.352 0.304
0.514 0.681 0.291
0.517 0.323 0.643
0.859 0.652 0.630
0.849 0.990 0.312
0.186 0.660 0.968
0.182 0.014 0.622
0.845 0.343 0.966
0.516 0.002 0.967
0.344 0.756 0.556
0.852 0.502 0.794
0.180 0.501 0.139
0.687 0.247 0.378
```

Values from the calculation:
DFT total energy ... -100.27 eV per cell
Crystal system ... monoclinic

Pm3HoGa2: optimized geometry, PBE.

```
Pm3HoGa2
1.0
5.103 0.000 0.000
0.000 6.622 0.000
0.000 0.000 9.633
Pm Ho Ga
6 2 4
direct
0.000 0.477 0.952
0.000 0.977 0.048
0.500 0.683 0.177
0.500 0.183 0.823
0.000 0.316 0.333
0.000 0.816 0.667
0.500 0.520 0.553
0.500 0.020 0.447
0.500 0.708 0.852
0.500 0.208 0.148
0.000 0.295 0.647
0.000 0.795 0.353
```

Values from the calculation:
Energy above the lowest structure with this stoichiometry ... 0 meV per atom
DFT total energy ... -54.62 eV per cell
Crystal system ... orthorhombic

Cd2IrCl: optimized geometry, PBE.

```
Cd2IrCl
1.0
-5.393 -4.321 6.194
-3.992 -6.800 4.893
-2.579 -5.241 7.211
Cl Ir Cd
1 1 2
direct
0.492 0.492 0.492
0.753 0.753 0.753
0.009 0.009 0.009
0.247 0.247 0.247
```

Values from the calculation:
Energy above the lowest structure with this stoichiometry ... 452 meV per atom
Raw formation energy ... 1.29 eV/f.u.
DFT total energy ... -11.24 eV per cell
Crystal system ... trigonal